(1)
## TbHfCuRe (PBE-GGA)

Data for crystalline TbHfCuRe at its relaxed geometry.

Summary:
**Space-group type**: F-43m
**Total magnetization**: 0.00 μB/atom
**N(E_F)**: 2.8 states/eV/f.u.
**ΔE_f**: -0.081 eV per atom
**Energy**: -0.57791 Ry per atom

a = 4.7414 Å, b = 4.7414 Å, c = 4.7414 Å
α = 60.00°, β = 60.00°, γ = 60.00°
With the nearest neighbours (Å) after each atom.
Positions (direct):
Tb  0.0000  0.0000  0.0000  4 Re 2.90, 4 Cu 2.90
Hf  0.5000  0.5000  0.5000  4 Cu 2.90, 4 Re 2.90
Cu  0.7500  0.7500  0.7500  4 Hf 2.90, 4 Tb 2.90
Re  0.2500  0.2500  0.2500  4 Hf 2.90, 4 Tb 2.90

=====

(2)
## Pr8Ga2Sb (PBE-GGA)

Data for crystalline Pr8Ga2Sb at its relaxed geometry.

Summary:
**Space-group type**: C2/m
**Total magnetization**: 0.00 μB/atom
**Formation energy from raw total energies**: -0.358 eV per atom
**N(E_F)**: 12.8 states/eV/f.u.
**Energy**: -0.34981 Ry per atom

a = 10.2795 Å, b = 10.2795 Å, c = 7.1936 Å
α = 102.28°, β = 102.28°, γ = 28.43°
With the nearest neighbours (Å) after each atom.
Positions (direct):
Pr  0.0333  0.0333  0.2628  1 Ga 3.12, 2 Sb 3.20
Pr  0.2104  0.2104  0.8244  3 Ga 3.14-3.34, 2 Pr 3.50
Pr  0.3353  0.3353  0.5171  3 Ga 3.15-3.16, 1 Sb 3.31, 2 Pr 3.50
Pr  0.4054  0.4054  0.0433  1 Sb 3.41, 2 Ga 3.52, 7 Pr 3.68-3.74
Pr  0.5946  0.5946  0.9567  1 Sb 3.41, 2 Ga 3.52, 7 Pr 3.68-3.74
Pr  0.6647  0.6647  0.4829  3 Ga 3.15-3.16, 1 Sb 3.31, 2 Pr 3.50
Pr  0.7896  0.7896  0.1756  3 Ga 3.14-3.34, 2 Pr 3.50
Pr  0.9667  0.9667  0.7372  1 Ga 3.12, 2 Sb 3.20
Ga  0.1879  0.1879  0.2426  7 Pr 3.12-3.34
Ga  0.8121  0.8121  0.7574  7 Pr 3.12-3.34
Sb  0.5000  0.5000  0.5000  8 Pr 3.20-3.41

=====

(3)
## In2OsAuO (PBE-GGA)

Data for crystalline In2OsAuO at its relaxed geometry.

Summary:
**Space-group type**: P4/mmm
**Total magnetization**: 0.00 μB/atom
**Formation energy from raw total energies**: 0.962 eV per atom
**N(E_F)**: 7.8 states/eV/f.u.
**Energy**: -0.29590 Ry per atom

a = 5.2185 Å, b = 5.2185 Å, c = 4.8738 Å
α = 90.00°, β = 90.00°, γ = 90.00°
With the nearest neighbours (Å) after each atom.
Positions (direct):
In  0.0000  0.5000  0.0000  2 Os 2.61
In  0.5000  0.0000  0.0000  2 Os 2.61
Os  0.0000  0.0000  0.0000  2 Au 2.44, 4 In 2.61
Au  0.0000  0.0000  0.5000  2 Os 2.44
O  0.5000  0.5000  0.5000  8 In 3.57, 4 Au 3.69

=====

(4)
## ErThCu4 (PBE-GGA)

Data for crystalline ErThCu4 at its relaxed geometry.

Summary:
**Space-group type**: Imm2
**Total magnetization**: 0.00 μB/atom
**N(E_F)**: 4.2 states/eV/f.u.
**ΔE_f**: -0.234 eV per atom
**Energy**: -0.36469 Ry per atom
**ΔE to the lowest computed polymorph**: 0.00 eV/f.u.

a = 5.5065 Å, b = 5.5065 Å, c = 5.5065 Å
α = 133.72°, β = 102.57°, γ = 95.24°
With the nearest neighbours (Å) after each atom.
Positions (direct):
Er  0.0000  0.0000  0.0000  12 Cu 2.97-3.12
Th  0.4261  0.9261  0.5000  12 Cu 2.98-3.12
Cu  0.0046  0.3016  0.7030  4 Cu 2.50-2.80
Cu  0.4268  0.6325  0.7943  3 Cu 2.50-2.54
Cu  0.5986  0.3016  0.2970  4 Cu 2.50-2.80
Cu  0.8383  0.6325  0.2057  3 Cu 2.50-2.54

=====

(5)
## NbW3S8 (PBE-GGA)

Data for crystalline NbW3S8 at its relaxed geometry.

Summary:
**Space-group type**: Pmm2
**Total magnetization**: 0.00 μB/atom
**Formation energy from raw total energies**: -0.864 eV per atom
**N(E_F)**: 3.7 states/eV/f.u.
**Energy**: -0.56546 Ry per atom

a = 3.2332 Å, b = 13.3989 Å, c = 5.6103 Å
α = 90.00°, β = 90.00°, γ = 90.00°
With the nearest neighbours (Å) after each atom.
Positions (direct):
Nb  0.0000  0.0000  0.0000  6 S 2.46-2.48
W  0.0000  0.5000  0.6617  6 S 2.43
W  0.5000  0.0000  0.4909  6 S 2.42-2.43
W  0.5000  0.5000  0.1617  6 S 2.43
S  0.0000  0.1161  0.6560  2 W 2.43, 1 Nb 2.48
S  0.0000  0.3839  0.9949  3 W 2.43
S  0.0000  0.6161  0.9949  3 W 2.43
S  0.0000  0.8839  0.6560  2 W 2.43, 1 Nb 2.48
S  0.5000  0.1191  0.1672  1 W 2.42, 2 Nb 2.46
S  0.5000  0.3839  0.4949  3 W 2.43
S  0.5000  0.6161  0.4949  3 W 2.43
S  0.5000  0.8809  0.1672  1 W 2.42, 2 Nb 2.46

=====

(6)
## CsNa2AlGa (PBE-GGA)

Data for crystalline CsNa2AlGa at its relaxed geometry.

Summary:
**Space-group type**: P4/mmm
**Total magnetization**: 0.00 μB/atom
**N(E_F)**: 1.6 states/eV/f.u.
**ΔE_f**: 0.136 eV per atom
**Energy**: -0.14084 Ry per atom
**ΔE to the lowest computed polymorph**: 0.09 eV/f.u.

a = 6.0280 Å, b = 6.0280 Å, c = 5.0464 Å
α = 90.00°, β = 90.00°, γ = 90.00°
With the nearest neighbours (Å) after each atom.
Positions (direct):
Cs  0.0000  0.0000  0.0000  8 Na 3.93, 4 Ga 4.26
Na  0.0000  0.5000  0.5000  2 Al 3.01
Na  0.5000  0.0000  0.5000  2 Al 3.01
Al  0.5000  0.5000  0.5000  2 Ga 2.52
Ga  0.5000  0.5000  0.0000  2 Al 2.52

=====

(7)
## V2GaMo2 (PBE-GGA)

Data for crystalline V2GaMo2 at its relaxed geometry.

Summary:
**Space-group type**: C2/c
**Total magnetization**: 0.00 μB/atom
**N(E_F)**: 4.9 states/eV/f.u.
**ΔE_f**: 0.056 eV per atom
**Energy**: -0.62690 Ry per atom
**ΔE to the lowest computed polymorph**: 0.74 eV/f.u.

a = 5.9025 Å, b = 5.9025 Å, c = 6.1356 Å
α = 107.00°, β = 107.00°, γ = 47.15°
With the nearest neighbours (Å) after each atom.
Positions (direct):
V  0.0315  0.7760  0.5577  2 V 2.60-2.69, 5 Mo 2.61-2.79, 3 Ga 2.65-2.74
V  0.2240  0.9685  0.9423  2 V 2.60-2.69, 5 Mo 2.61-2.79, 3 Ga 2.65-2.74
V  0.7760  0.0315  0.0577  2 V 2.60-2.69, 5 Mo 2.61-2.79, 3 Ga 2.65-2.74
V  0.9685  0.2240  0.4423  2 V 2.60-2.69, 5 Mo 2.61-2.79, 3 Ga 2.65-2.74
Ga  0.3605  0.6395  0.2500  6 V 2.65-2.74, 4 Mo 2.68-2.70
Ga  0.6395  0.3605  0.7500  6 V 2.65-2.74, 4 Mo 2.68-2.70
Mo  0.1763  0.4336  0.8456  5 V 2.61-2.79, 2 Ga 2.68-2.70, 3 Mo 2.73-2.78
Mo  0.4336  0.1763  0.3456  5 V 2.61-2.79, 2 Ga 2.68-2.70, 3 Mo 2.73-2.78
Mo  0.5664  0.8237  0.6544  5 V 2.61-2.79, 2 Ga 2.68-2.70, 3 Mo 2.73-2.78
Mo  0.8237  0.5664  0.1544  5 V 2.61-2.79, 2 Ga 2.68-2.70, 3 Mo 2.73-2.78

=====

(8)
## TaAlCoN2 (PBE-GGA)

Data for crystalline TaAlCoN2 at its relaxed geometry.

Summary:
**Space-group type**: P4/mmm
**Total magnetization**: 0.43 μB/atom
**Formation energy from raw total energies**: 0.712 eV per atom
**N(E_F)**: 4.8 states/eV/f.u.
**Energy**: -0.52615 Ry per atom

a = 3.9760 Å, b = 3.9760 Å, c = 5.1064 Å
α = 90.00°, β = 90.00°, γ = 90.00°
With the nearest neighbours (Å) after each atom.
Positions (direct):
Ta  0.0000  0.0000  0.0000  4 N 1.99
Al  0.5000  0.5000  0.5000  4 Co 2.81
Co  0.0000  0.0000  0.5000  2 Ta 2.55, 4 Al 2.81
N  0.0000  0.5000  0.0000  2 Ta 1.99
N  0.5000  0.0000  0.0000  2 Ta 1.99